(1)
Entry from Alexandria via LeMat-Bulk: a relaxed structure of LiGdErSc (PBE).

a b c (Å): 5.3304 5.3304 5.3304
angles (deg): 60.00 60.00 60.00
Last column: nearest neighbours and their distance in Å.
Fractional coordinates of all 4 atoms:
Gd  0.7500  0.7500  0.7500  4 Li 3.26, 4 Sc 3.26
Er  0.2500  0.2500  0.2500  4 Sc 3.26, 4 Li 3.26
Sc  0.5000  0.5000  0.5000  4 Gd 3.26, 4 Er 3.26
Li  0.0000  0.0000  0.0000  4 Gd 3.26, 4 Er 3.26

For the total energy, the calculation gives -6.567 eV/atom. The calculation puts the formation energy from the elements at 155 meV/atom. As for the crystal system: cubic. As for the total magnetic moment: 7.23 μB/f.u.

***

(2)
Entry from Alexandria via LeMat-Bulk: a relaxed structure of LiGdErSn (PBE).

a b c (Å): 5.2261 5.2261 5.2261
angles (deg): 60.00 60.00 60.00
Last column: nearest neighbours and their distance in Å.
Fractional coordinates of all 4 atoms:
Sn  0.2500  0.2500  0.2500  4 Gd 3.20, 4 Er 3.20
Li  0.7500  0.7500  0.7500  4 Gd 3.20, 4 Er 3.20
Gd  0.0000  0.0000  0.0000  4 Li 3.20, 4 Sn 3.20
Er  0.5000  0.5000  0.5000  4 Sn 3.20, 4 Li 3.20

For the total energy, the calculation gives -6.545 eV/atom. The calculation puts the formation energy from the elements at -405 meV/atom. As for the crystal system: cubic. As for the total magnetic moment: 7.75 μB/f.u.

***

(3)
Entry from Alexandria via LeMat-Bulk: a relaxed structure of LiTbGdEr (PBE).

a b c (Å): 5.4745 5.4745 5.4745
angles (deg): 60.00 60.00 60.00
Last column: nearest neighbours and their distance in Å.
Fractional coordinates of all 4 atoms:
Gd  0.7500  0.7500  0.7500  4 Er 3.35, 4 Li 3.35
Tb  0.2500  0.2500  0.2500  4 Li 3.35, 4 Er 3.35
Er  0.5000  0.5000  0.5000  4 Tb 3.35, 4 Gd 3.35
Li  0.0000  0.0000  0.0000  4 Gd 3.35, 4 Tb 3.35

For the total energy, the calculation gives -6.133 eV/atom. The calculation puts the formation energy from the elements at 164 meV/atom. As for the crystal system: cubic. As for the total magnetic moment: 7.23 μB/f.u.

***

(4)
Entry from Alexandria via LeMat-Bulk: a relaxed structure of LiGdErTl (PBE).

a b c (Å): 5.2814 5.2814 5.2814
angles (deg): 60.00 60.00 60.00
Last column: nearest neighbours and their distance in Å.
Fractional coordinates of all 4 atoms:
Gd  0.5000  0.5000  0.5000  4 Tl 3.23, 4 Li 3.23
Li  0.2500  0.2500  0.2500  4 Gd 3.23, 4 Er 3.23
Tl  0.7500  0.7500  0.7500  4 Gd 3.23, 4 Er 3.23
Er  0.0000  0.0000  0.0000  4 Li 3.23, 4 Tl 3.23

For the total energy, the calculation gives -5.929 eV/atom. The calculation puts the formation energy from the elements at -198 meV/atom. As for the crystal system: cubic. As for the total magnetic moment: 7.71 μB/f.u.

***

(5)
Entry from Alexandria via LeMat-Bulk: a relaxed structure of LiGdYEr (PBE).

a b c (Å): 5.4816 5.4816 5.4816
angles (deg): 60.00 60.00 60.00
Last column: nearest neighbours and their distance in Å.
Fractional coordinates of all 4 atoms:
Gd  0.2500  0.2500  0.2500  4 Li 3.36, 4 Er 3.36
Er  0.5000  0.5000  0.5000  4 Y 3.36, 4 Gd 3.36
Li  0.0000  0.0000  0.0000  4 Gd 3.36, 4 Y 3.36
Y  0.7500  0.7500  0.7500  4 Er 3.36, 4 Li 3.36

For the total energy, the calculation gives -6.589 eV/atom. The calculation puts the formation energy from the elements at 166 meV/atom. As for the crystal system: cubic. As for the total magnetic moment: 7.23 μB/f.u.

***

(6)
Entry from Alexandria via LeMat-Bulk: a relaxed structure of GdErLu4 (PBE).

a b c (Å): 6.4848 6.4848 6.4848
angles (deg): 60.00 60.00 60.00
Last column: nearest neighbours and their distance in Å.
Fractional coordinates of all 6 atoms:
Lu  0.6251  0.6251  0.6251  6 Lu 3.24-3.25
Lu  0.6251  0.1246  0.6251  6 Lu 3.24-3.25
Lu  0.1246  0.6251  0.6251  6 Lu 3.24-3.25
Lu  0.6251  0.6251  0.1246  6 Lu 3.24-3.25
Gd  0.2500  0.2500  0.2500  12 Lu 3.80, 4 Er 3.97
Er  0.0000  0.0000  0.0000  12 Lu 3.80, 4 Gd 3.97

For the total energy, the calculation gives -5.874 eV/atom. The calculation puts the formation energy from the elements at 247 meV/atom. As for the crystal system: cubic. As for the total magnetic moment: 8.89 μB/f.u.